(1)
First-principles (SCAN) data for a crystal of AlNi5 relaxed with PBEsol, as listed in the Alexandria database.

Unit cell a=4.009 b=2.556 c=12.570 alpha=90.00 beta=90.00 gamma=90.00
Space group Amm2 (No. 38)
One atom of each set of equivalent atoms:
Al  0.000  0.000  0.000 x2
Ni  0.000  0.000  0.333 x2
Ni  0.000  0.000  0.667 x2
Ni  0.500  0.000  0.214 x2
Ni  0.500  0.000  0.550 x2
Ni  0.500  0.000  0.879 x2

## Properties
* crystal system: orthorhombic
* magnetic moment: 4.6 μB per cell



(2)
First-principles (SCAN) data for a crystal of AlNi5 relaxed with PBEsol, as listed in the Alexandria database.

Unit cell a=4.2922 b=4.2922 c=4.0225 alpha=90.00 beta=90.00 gamma=120.00
Space group P-62m (No. 189)
One atom of each set of equivalent atoms:
Al  0.0000  0.0000  0.0000 x1
Ni  0.0000  0.6580  0.5000 x3
Ni  0.3333  0.6667  0.0000 x2

## Properties
* crystal system: hexagonal
* magnetic moment: 2.2 μB per cell



(3)
First-principles (SCAN) data for a crystal of AlNi5 relaxed with PBEsol, as listed in the Alexandria database.

Unit cell a=3.512 b=10.474 c=3.480 alpha=90.00 beta=90.00 gamma=90.00
Space group Cmmm (No. 65)
One atom of each set of equivalent atoms:
Al  0.000  0.000  0.000 x2
Ni  0.000  0.169  0.500 x4
Ni  0.000  0.332  0.000 x4
Ni  0.000  0.500  0.500 x2

## Properties
* crystal system: orthorhombic
* magnetic moment: 4.6 μB per cell



Most favorable first, least favorable last: (3), (2), (1)



(1)
First-principles (SCAN) data for a crystal of Al5Ni3 relaxed with PBEsol, as listed in the Alexandria database.

Unit cell a=6.9608 b=6.9608 c=4.9926 alpha=90.00 beta=90.00 gamma=120.00
Space group P6_3/mcm (No. 193)
One atom of each set of equivalent atoms:
Al  0.0000  0.2515  0.2500 x6
Al  0.3333  0.6667  0.0000 x4
Ni  0.0000  0.3956  0.7500 x6

## Properties
* crystal system: hexagonal
* magnetic moment: 0.0 μB per cell



(2)
First-principles (SCAN) data for a crystal of Al5Ni3 relaxed with PBEsol, as listed in the Alexandria database.

Unit cell a=6.846 b=7.772 c=3.807 alpha=90.00 beta=90.00 gamma=90.00
Space group Cmmm (No. 65)
One atom of each set of equivalent atoms:
Al  0.000  0.000  0.000 x2
Al  0.217  0.500  0.500 x4
Al  0.250  0.250  0.000 x4
Ni  0.000  0.230  0.500 x4
Ni  0.000  0.500  0.000 x2

## Properties
* crystal system: orthorhombic
* magnetic moment: 0.0 μB per cell



Most favorable first, least favorable last: (1), (2)



(1)
First-principles (SCAN) data for a crystal of AlNi2P relaxed with PBEsol, as listed in the Alexandria database.

Unit cell a=7.520 b=2.761 c=4.516 alpha=90.00 beta=100.79 gamma=90.00
Space group C2/m (No. 12)
One atom of each set of equivalent atoms:
Al  0.000  0.000  0.000 x2
Ni  0.247  0.000  0.737 x4
P  0.000  0.500  0.500 x2

## Properties
* crystal system: monoclinic
* magnetic moment: 0.0 μB per cell



(2)
First-principles (SCAN) data for a crystal of AlNi2P relaxed with PBEsol, as listed in the Alexandria database.

Unit cell a=5.725 b=5.725 c=5.725 alpha=90.00 beta=90.00 gamma=90.00
Space group F-43m (No. 216)
One atom of each set of equivalent atoms:
Al  0.000  0.000  0.000 x4
Ni  0.000  0.000  0.500 x4
Ni  0.250  0.250  0.750 x4
P  0.250  0.250  0.250 x4

## Properties
* crystal system: cubic
* magnetic moment: 0.0 μB per cell



Most favorable first, least favorable last: (1), (2)



(1)
First-principles (SCAN) data for a crystal of AlNi2Pb relaxed with PBEsol, as listed in the Alexandria database.

Unit cell a=3.752 b=3.752 c=8.261 alpha=90.00 beta=90.00 gamma=90.00
Space group I-4m2 (No. 119)
One atom of each set of equivalent atoms:
Al  0.000  0.000  0.000 x2
Ni  0.000  0.000  0.500 x2
Ni  0.000  0.500  0.250 x2
Pb  0.000  0.500  0.750 x2

## Properties
* crystal system: tetragonal
* magnetic moment: 0.0 μB per cell



(2)
First-principles (SCAN) data for a crystal of AlNi2Pb relaxed with PBEsol, as listed in the Alexandria database.

Unit cell a=4.274 b=4.383 c=6.150 alpha=90.00 beta=90.00 gamma=90.00
Space group Immm (No. 71)
One atom of each set of equivalent atoms:
Al  0.000  0.000  0.000 x2
Ni  0.000  0.500  0.258 x4
Pb  0.000  0.000  0.500 x2

## Properties
* crystal system: orthorhombic
* magnetic moment: 0.0 μB per cell



(3)
First-principles (SCAN) data for a crystal of AlNi2Pb relaxed with PBEsol, as listed in the Alexandria database.

Unit cell a=6.208 b=6.208 c=6.208 alpha=90.00 beta=90.00 gamma=90.00
Space group F-43m (No. 216)
One atom of each set of equivalent atoms:
Al  0.000  0.000  0.000 x4
Ni  0.000  0.000  0.500 x4
Ni  0.250  0.250  0.250 x4
Pb  0.250  0.250  0.750 x4

## Properties
* crystal system: cubic
* magnetic moment: 0.0 μB per cell



Most favorable first, least favorable last: (2), (1), (3)



(1)
First-principles (SCAN) data for a crystal of Al3NiRh relaxed with PBEsol, as listed in the Alexandria database.

Unit cell a=4.304 b=4.304 c=4.304 alpha=90.00 beta=90.00 gamma=90.00
Space group Pm-3m (No. 221)
One atom of each set of equivalent atoms:
Al  0.000  0.000  0.500 x3
Ni  0.000  0.000  0.000 x1
Rh  0.500  0.500  0.500 x1

## Properties
* crystal system: cubic
* magnetic moment: 0.0 μB per cell



(2)
First-principles (SCAN) data for a crystal of Al3NiRh relaxed with PBEsol, as listed in the Alexandria database.

Unit cell a=4.554 b=4.554 c=4.554 alpha=90.00 beta=90.00 gamma=90.00
Space group Pm-3m (No. 221)
One atom of each set of equivalent atoms:
Al  0.000  0.000  0.500 x3
Ni  0.500  0.500  0.500 x1
Rh  0.000  0.000  0.000 x1

## Properties
* crystal system: cubic
* magnetic moment: 0.6 μB per cell



Most favorable first, least favorable last: (1), (2)



(1)
First-principles (SCAN) data for a crystal of Al2NiRu relaxed with PBEsol, as listed in the Alexandria database.

Unit cell a=4.067 b=4.067 c=3.009 alpha=90.00 beta=90.00 gamma=90.00
Space group P4/mmm (No. 123)
One atom of each set of equivalent atoms:
Al  0.000  0.500  0.000 x2
Ni  0.000  0.000  0.500 x1
Ru  0.500  0.500  0.500 x1

## Properties
* crystal system: tetragonal
* magnetic moment: 0.0 μB per cell



(2)
First-principles (SCAN) data for a crystal of Al2NiRu relaxed with PBEsol, as listed in the Alexandria database.

Unit cell a=2.7782 b=2.7782 c=23.4610 alpha=90.00 beta=90.00 gamma=120.00
Space group R-3m (No. 166, hexagonal axes)
One atom of each set of equivalent atoms:
Al  0.0000  0.0000  0.2475 x6
Ni  0.0000  0.0000  0.5000 x3
Ru  0.0000  0.0000  0.0000 x3

## Properties
* crystal system: trigonal
* magnetic moment: 0.0 μB per cell



Most favorable first, least favorable last: (1), (2)